LiTa2Pb: single point on PBEsol structure, meta-GGA SCAN.

Cell: 6.6432 6.6432 6.6432 Å, 90.00 90.00 90.00°
Last column: nearest neighbours and their distance in Å.
Space group F-43m (No. 216)
Unique sites:
Li 0.0000 0.0000 0.0000 (multiplicity 4)  4 Ta 2.88, 4 Pb 2.88
Ta 0.0000 0.0000 0.5000 (multiplicity 4)  4 Pb 2.88, 4 Ta 2.88
Ta 0.2500 0.2500 0.2500 (multiplicity 4)  4 Ta 2.88, 4 Li 2.88
Pb 0.2500 0.2500 0.7500 (multiplicity 4)  4 Li 2.88, 4 Ta 2.88

Values from the calculation:
For the energy relative to the elements, the calculation gives 435 meV per atom. Its magnetization is 0.0 μB/f.u. As for the crystal system: cubic.